VASP calculation (PBE) on a relaxed structure of AgS2O6.

Summary:
Formation energy (no corrections) in eV/atom: -0.844
Energy in eV/atom: -5.384
Size of the total moment in μB/f.u.: 0.0
Symmetry: C2/c, No. 15

```
18
Lattice="5.4751 -4.7568 0.0000 5.4751 4.7568 0.0000 -2.4667 0.0000 5.5652" Properties=species:S:1:pos:R:3 pbc="T T T"
Ag 3.6251 3.4763 4.1739
Ag 4.8584 -3.4763 1.3913
S 1.1666 0.7743 4.4879
S 2.4000 -0.7743 1.7053
S 6.0835 0.7743 3.8600
S 7.3168 -0.7743 1.0773
O -0.1309 0.6589 3.7983
O 1.6454 2.1340 4.7210
O 1.1025 -0.6589 1.0157
O 2.5931 0.1985 2.8130
O 3.8265 -0.1985 0.0304
O 5.6047 2.1340 3.6268
O 2.8788 -2.1340 1.9384
O 4.6570 0.1985 5.5348
O 5.8903 -0.1985 2.7522
O 7.3810 0.6589 4.5496
O 6.8381 -2.1340 0.8442
O 8.6144 -0.6589 1.7669
```



VASP calculation (PBE) on a relaxed structure of Cs3Cd2F7.

Summary:
Formation energy (no corrections) in eV/atom: -2.508
Energy in eV/atom: -3.965
Size of the total moment in μB/f.u.: 0.0
Symmetry: I4/mmm, No. 139

```
12
Lattice="-2.2845 2.2845 11.9779 2.2845 -2.2845 11.9779 2.2845 2.2845 -11.9779" Properties=species:S:1:pos:R:3 pbc="T T T"
Cs 0.0000 0.0000 0.0000
Cs 0.0000 0.0000 4.4441
Cs 0.0000 0.0000 19.5116
Cd 0.0000 0.0000 9.6940
Cd 0.0000 0.0000 14.2618
F 2.2845 0.0000 2.2706
F 0.0000 0.0000 7.4499
F 2.2845 0.0000 9.7073
F 0.0000 0.0000 11.9779
F 0.0000 2.2845 2.2706
F 0.0000 0.0000 16.5058
F 0.0000 2.2845 9.7073
```